# 1
A plane-wave DFT calculation with PBE was carried out for NdIBr after structural relaxation.

**DFT total energy**: -4.136 eV/atom
**Calculated volume**: 238 Å³/cell
**Total moment**: 0.000 μB/cell
**E_form (uncorrected)**: -1.47 eV per atom

```
NdIBr
1.0
4.143 0.000 0.000
0.000 7.127 0.000
-2.009 -3.246 8.054
Nd I Br
2 2 2
direct
0.250 0.247 0.001 Nd
0.750 0.753 0.999 Nd
0.122 0.795 0.736 I
0.878 0.205 0.264 I
0.359 0.685 0.224 Br
0.641 0.315 0.776 Br
```

# 2
A plane-wave DFT calculation with PBE was carried out for HfSnAu after structural relaxation.

**DFT total energy**: -6.006 eV/atom
**Calculated volume**: 128 Å³/cell
**Total moment**: 0.000 μB/cell

```
HfSnAu
1.0
3.294 0.000 0.000
0.000 3.294 0.000
0.000 0.000 11.783
Hf Sn Au
2 2 2
direct
0.000 0.000 0.000 Hf
0.500 0.500 0.500 Hf
0.000 0.000 0.682 Sn
0.500 0.500 0.182 Sn
0.000 0.000 0.356 Au
0.500 0.500 0.856 Au
```

# 3
A plane-wave DFT calculation with PBE was carried out for PrNdSnAu after structural relaxation.

**DFT total energy**: -4.917 eV/atom
**Calculated volume**: 447 Å³/cell
**Total moment**: 3.208 μB/cell

```
PrNdSnAu
1.0
7.648 0.000 0.000
0.000 7.648 0.000
0.000 0.000 7.648
Pr Nd Sn Au
4 4 4 4
direct
0.000 0.000 0.000 Pr
0.000 0.500 0.500 Pr
0.500 0.000 0.500 Pr
0.500 0.500 0.000 Pr
0.000 0.000 0.500 Nd
0.000 0.500 0.000 Nd
0.500 0.000 0.000 Nd
0.500 0.500 0.500 Nd
0.250 0.250 0.250 Sn
0.250 0.750 0.750 Sn
0.750 0.250 0.750 Sn
0.750 0.750 0.250 Sn
0.250 0.250 0.750 Au
0.250 0.750 0.250 Au
0.750 0.250 0.250 Au
0.750 0.750 0.750 Au
```

# 4
A plane-wave DFT calculation with PBE was carried out for K2LiCd6 after structural relaxation.

**DFT total energy**: -1.116 eV/atom
**Calculated volume**: 248 Å³/cell
**Total moment**: 0.000 μB/cell

```
K2LiCd6
1.0
9.254 0.000 0.000
-4.627 8.014 0.000
0.000 0.000 3.337
K Li Cd
2 1 6
direct
0.333 0.667 0.000 K
0.667 0.333 0.000 K
0.000 0.000 0.000 Li
0.000 0.316 0.500 Cd
0.000 0.684 0.500 Cd
0.316 0.000 0.500 Cd
0.316 0.316 0.500 Cd
0.684 0.000 0.500 Cd
0.684 0.684 0.500 Cd
```

# 5
A plane-wave DFT calculation with PBE was carried out for K2YCu after structural relaxation.

**DFT total energy**: -2.519 eV/atom
**Calculated volume**: 147 Å³/cell
**Total moment**: 0.293 μB/cell

```
K2YCu
1.0
3.820 0.000 0.000
0.000 5.817 0.000
0.000 0.000 6.594
K Y Cu
2 1 1
direct
0.000 0.000 0.229 K
0.000 0.000 0.771 K
0.500 0.500 0.500 Y
0.500 0.500 0.000 Cu
```

# 6
A plane-wave DFT calculation with PBE was carried out for CaGaCuPd after structural relaxation.

**DFT total energy**: -4.076 eV/atom
**Calculated volume**: 162 Å³/cell
**Total moment**: 0.000 μB/cell

```
CaGaCuPd
1.0
7.502 0.000 0.000
0.000 4.350 0.000
-2.515 0.000 4.978
Ca Ga Cu Pd
2 2 2 2
direct
0.000 0.000 0.000 Ca
0.500 0.500 0.000 Ca
0.004 0.500 0.510 Ga
0.504 0.000 0.510 Ga
0.304 0.500 0.413 Cu
0.804 0.000 0.413 Cu
0.198 0.000 0.594 Pd
0.698 0.500 0.594 Pd
```

# 7
A plane-wave DFT calculation with PBE was carried out for Al2CdSe4 after structural relaxation.

**DFT total energy**: -4.009 eV/atom
**Calculated volume**: 374 Å³/cell
**Total moment**: 0.000 μB/cell
**E_form (uncorrected)**: -0.82 eV per atom

```
Al2CdSe4
1.0
5.864 0.000 0.000
0.000 5.864 0.000
0.000 0.000 10.884
Al Cd Se
4 2 8
direct
0.000 0.000 0.000 Al
0.000 0.500 0.250 Al
0.500 0.000 0.750 Al
0.500 0.500 0.500 Al
0.000 0.500 0.750 Cd
0.500 0.000 0.250 Cd
0.229 0.268 0.387 Se
0.232 0.729 0.113 Se
0.268 0.771 0.613 Se
0.271 0.232 0.887 Se
0.729 0.768 0.887 Se
0.732 0.229 0.613 Se
0.768 0.271 0.113 Se
0.771 0.732 0.387 Se
```

# 8
A plane-wave DFT calculation with PBE was carried out for BaPr4Tl4 after structural relaxation.

**DFT total energy**: -3.575 eV/atom
**Calculated volume**: 616 Å³/cell
**Total moment**: 0.000 μB/cell

```
BaPr4Tl4
1.0
9.945 0.000 0.000
0.000 9.945 0.000
0.000 0.000 6.225
Ba Pr Tl
2 8 8
direct
0.250 0.250 0.250 Ba
0.750 0.750 0.750 Ba
0.099 0.834 0.639 Pr
0.166 0.599 0.139 Pr
0.334 0.901 0.139 Pr
0.401 0.666 0.639 Pr
0.599 0.334 0.361 Pr
0.666 0.099 0.861 Pr
0.834 0.401 0.861 Pr
0.901 0.166 0.361 Pr
0.024 0.132 0.849 Tl
0.132 0.476 0.651 Tl
0.368 0.024 0.651 Tl
0.476 0.368 0.849 Tl
0.524 0.632 0.151 Tl
0.632 0.976 0.349 Tl
0.868 0.524 0.349 Tl
0.976 0.868 0.151 Tl
```

# 9
A plane-wave DFT calculation with PBE was carried out for Tb4Er2Th after structural relaxation.

**DFT total energy**: -4.987 eV/atom
**Calculated volume**: 221 Å³/cell
**Total moment**: 0.000 μB/cell

```
Tb4Er2Th
1.0
1.779 1.027 20.185
-1.779 1.027 20.185
0.000 -2.054 20.185
Tb Er Th
4 2 1
direct
0.143 0.143 0.143 Tb
0.286 0.286 0.286 Tb
0.714 0.714 0.714 Tb
0.857 0.857 0.857 Tb
0.429 0.429 0.429 Er
0.571 0.571 0.571 Er
0.000 0.000 0.000 Th
```

# 10
A plane-wave DFT calculation with PBE was carried out for Sc2SiI after structural relaxation.

**DFT total energy**: -5.525 eV/atom
**Calculated volume**: 363 Å³/cell
**Total moment**: 0.000 μB/cell
**E_form (uncorrected)**: -0.62 eV per atom

```
Sc2SiI
1.0
4.149 0.000 0.000
-2.074 3.593 0.000
0.000 0.000 24.343
Sc Si I
6 3 3
direct
0.000 0.000 0.117 Sc
0.000 0.000 0.883 Sc
0.333 0.667 0.550 Sc
0.333 0.667 0.784 Sc
0.667 0.333 0.216 Sc
0.667 0.333 0.450 Sc
0.000 0.000 0.500 Si
0.333 0.667 0.167 Si
0.667 0.333 0.833 Si
0.000 0.000 0.000 I
0.333 0.667 0.667 I
0.667 0.333 0.333 I
```